DFT (PBE) results for a relaxed Tb3Pr2In4 crystal.

Cell: 5.3680 5.3625 10.4974 Å, 90.09 90.00 59.97°
Fractional coordinates of all 9 atoms:
In (0.3336, 0.3328, 0.1006)
Tb (0.6666, 0.6668, 0.5751)
In (0.6664, 0.6672, 0.8994)
Tb (0.3334, 0.3332, 0.4249)
In (0.0000, 0.0000, 0.3516)
Tb (0.0000, 0.0000, 0.0000)
Pr (0.3331, 0.3339, 0.7795)
In (0.0000, 0.0000, 0.6484)
Pr (0.6669, 0.6661, 0.2205)

The value obtained for the density of states at the Fermi level is 9.2 states/eV per cell. The value obtained for the volume is 29.1 A^3/atom. Its space group is No. 12. The formation enthalpy at 0 K is -403 meV/atom.


DFT (PBE) results for a relaxed RbP2PtO crystal.

Cell: 5.1977 5.1977 4.0715 Å, 90.00 90.00 90.00°
Fractional coordinates of all 5 atoms:
O (0.0000, 0.0000, 0.5000)
P (0.5000, 0.0000, 0.0000)
Rb (0.0000, 0.0000, 0.0000)
Pt (0.5000, 0.5000, 0.5000)
P (0.0000, 0.5000, 0.0000)

The value obtained for the density of states at the Fermi level is 5.0 states/eV per cell. The value obtained for the energy relative to the elements, uncorrected is 2021 meV/atom. The value obtained for the volume is 22.0 A^3/atom. Its space group is No. 123.


DFT (PBE) results for a relaxed ErBi3 crystal.

Cell: 4.6438 4.6438 6.4805 Å, 111.00 111.00 90.00°
Fractional coordinates of all 4 atoms:
Bi (0.5000, 0.5000, 0.0000)
Bi (0.7500, 0.2500, 0.5000)
Bi (0.2500, 0.7500, 0.5000)
Er (0.0000, 0.0000, 0.0000)

The value obtained for the density of states at the Fermi level is 2.2 states/eV per cell. The value obtained for the volume is 30.1 A^3/atom. Its space group is No. 139. The formation enthalpy at 0 K is -301 meV/atom.


DFT (PBE) results for a relaxed SmMgIr crystal.

Cell: 3.6803 4.5353 4.5353 Å, 120.00 90.00 90.00°
Fractional coordinates of all 3 atoms:
Mg (0.1666, 0.6667, 0.3333)
Ir (0.1666, 0.0000, 0.0000)
Sm (0.6668, 0.3333, 0.6667)

The value obtained for the density of states at the Fermi level is 1.6 states/eV per cell. The value obtained for the volume is 21.9 A^3/atom. Its space group is No. 187. The formation enthalpy at 0 K is -374 meV/atom.


DFT (PBE) results for a relaxed Li2ScCl crystal.

Cell: 5.7115 3.7483 3.7483 Å, 90.00 90.00 90.00°
Fractional coordinates of all 4 atoms:
Li (0.0000, 0.0000, 0.0000)
Cl (0.5000, 0.0000, 0.5000)
Li (0.0000, 0.5000, 0.5000)
Sc (0.5000, 0.5000, 0.0000)

The value obtained for the density of states at the Fermi level is 3.6 states/eV per cell. The value obtained for the energy relative to the elements, uncorrected is -298 meV/atom. The value obtained for the volume is 20.1 A^3/atom. Its space group is No. 123.


DFT (PBE) results for a relaxed ScNbAuSe2 crystal.

Cell: 4.9194 5.5149 4.9194 Å, 90.00 90.00 90.00°
Fractional coordinates of all 5 atoms:
Se (0.0000, 0.0000, 0.5000)
Sc (0.0000, 0.0000, 0.0000)
Au (0.5000, 0.5000, 0.5000)
Nb (0.0000, 0.5000, 0.0000)
Se (0.5000, 0.0000, 0.0000)

The value obtained for the density of states at the Fermi level is 5.8 states/eV per cell. The value obtained for the energy relative to the elements, uncorrected is 623 meV/atom. The value obtained for the volume is 26.7 A^3/atom. Its space group is No. 123.